## NpB4H16 (PBE-GGA)

Data for crystalline NpB4H16 at its relaxed geometry.

Computed properties:
* E_tot: -0.16807 Ha/atom

a = 8.239 Å, b = 8.239 Å, c = 5.793 Å
α = 90.00°, β = 90.00°, γ = 90.00°
Space group P4_2/nmc (No. 137, origin choice 2)
One atom of each set of equivalent atoms:
Np1 0.250 0.750 0.250 [2 per cell]
B1 0.009 0.750 0.006 [8 per cell]
H1 0.020 0.250 0.781 [8 per cell]
H2 0.100 0.629 0.977 [16 per cell]
H3 0.109 0.250 0.113 [8 per cell]